First-principles (PBE) data for an optimized crystal structure of KScGe, as listed in Alexandria via LeMat-Bulk.

The space group is Pnma (No. 62) and the conventional cell measures 7.722, 4.749 and 11.170 Å, with angles of 90.00, 90.00 and 90.00 degrees. Symmetry generates all atoms from K at (0.118, 0.250, 0.108), Sc at (0.019, 0.750, 0.392) and Ge at (0.177, 0.250, 0.410).

The calculation puts the energy relative to the lowest polymorph listed for this composition at 0.344 eV per atom. The crystal system is orthorhombic. As for the magnetization: 0.00 Bohr magnetons per cell.

First-principles (PBE) data for an optimized crystal structure of KSc3Ge, as listed in Alexandria via LeMat-Bulk.

The space group is Pm-3m (No. 221) and the conventional cell measures 4.893, 4.893 and 4.893 Å, with angles of 90.00, 90.00 and 90.00 degrees. Symmetry generates all atoms from K at (0.000, 0.000, 0.000), Sc at (0.000, 0.000, 0.500) and Ge at (0.500, 0.500, 0.500).

The calculation puts the energy relative to the lowest polymorph listed for this composition at 1.183 eV per atom. The crystal system is cubic. As for the magnetization: 0.00 Bohr magnetons per cell.